No. 1
The following is a DFT calculation (GGA-PBE) of crystalline KPt3Pb3 at its relaxed geometry.

Summary:
- energy above the most stable polymorph in this dataset (kcal/mol of atoms) = 1.93
- magnetic moment (μB/cell) = 0.00
- ΔH_f (0 K) (eV/atom) = -0.054

Unit cell a=7.6486 b=7.6486 c=7.6486 alpha=90.00 beta=90.00 gamma=90.00
Positions (direct):
K 0.0000 0.0000 0.0000
K 0.5000 0.5000 0.5000
Pt 0.0000 0.2500 0.5000
Pt 0.0000 0.7500 0.5000
Pt 0.2500 0.5000 0.0000
Pt 0.5000 0.0000 0.2500
Pt 0.5000 0.0000 0.7500
Pt 0.7500 0.5000 0.0000
Pb 0.0000 0.5000 0.2500
Pb 0.0000 0.5000 0.7500
Pb 0.2500 0.0000 0.5000
Pb 0.5000 0.2500 0.0000
Pb 0.5000 0.7500 0.0000
Pb 0.7500 0.0000 0.5000

No. 2
The following is a DFT calculation (GGA-PBE) of crystalline K2Pt2Pb at its relaxed geometry.

Summary:
- energy above the most stable polymorph in this dataset (kcal/mol of atoms) = 0.00
- magnetic moment (μB/cell) = 0.00
- ΔH_f (0 K) (eV/atom) = -0.230

Unit cell a=6.1458 b=6.1458 c=8.3321 alpha=98.79 beta=98.79 gamma=67.03
Positions (direct):
K 0.0193 0.2649 0.1358
K 0.2649 0.0193 0.6358
K 0.7351 0.9807 0.3642
K 0.9807 0.7351 0.8642
Pt 0.2057 0.5069 0.4928
Pt 0.4931 0.7943 0.0072
Pt 0.5069 0.2057 0.9928
Pt 0.7943 0.4931 0.5072
Pb 0.4301 0.5699 0.2500
Pb 0.5699 0.4301 0.7500

No. 3
The following is a DFT calculation (GGA-PBE) of crystalline KPtPb2 at its relaxed geometry.

Summary:
- magnetic moment (μB/cell) = 0.00
- ΔH_f (0 K) (eV/atom) = -0.175

Unit cell a=6.5053 b=6.5053 c=6.5053 alpha=148.30 beta=126.32 gamma=63.69
Positions (direct):
K 0.0000 0.0000 0.0000
Pt 0.5000 0.5000 0.0000
Pb 0.3025 0.8025 0.5000
Pb 0.6975 0.1975 0.5000